An optimized crystal structure of LiIn2SnCl6, computed with PBE-GGA.

a = 7.185 Å, b = 7.186 Å, c = 8.046 Å
α = 90.02°, β = 116.50°, γ = 119.98°
Positions (direct):
Li 0.000 0.000 0.000
In 0.515 0.758 0.272
In 0.522 0.261 0.783
Sn 0.911 0.456 0.366
Cl 0.058 0.855 0.563
Cl 0.360 0.506 0.564
Cl 0.375 0.313 0.043
Cl 0.710 0.205 0.564
Cl 0.730 0.063 0.043
Cl 0.980 0.668 0.043

Values from the calculation:
- ΔE_f (raw): -10.4 eV/f.u.
- Calculated total energy: -3.29 eV per atom
- Space-group type: P1, No. 1